1.
First-principles (PBE) data for a relaxed Lu2InC crystal, as listed in Alexandria via LeMat-Bulk.

## Properties
The calculation puts the electronic total energy at -0.2105 Ha/atom. Its crystal system is trigonal. Its calculated volume is 21.35 A^3/atom. As for the density of states at the Fermi level: 2.50 states/eV/f.u. The space group is No. 166.

The structure in POSCAR format:
```
Lu2InC
1.0
-1.491 2.996 -1.074
-1.133 0.311 -3.312
-8.032 -1.677 0.725
C Lu In
1 2 1
Direct
0.000 0.000 0.000
0.279 0.279 0.163
0.721 0.721 0.837
0.500 0.500 0.500
```

2.
First-principles (PBE) data for a relaxed Sm3Pa3NbN8 crystal, as listed in Alexandria via LeMat-Bulk.

## Properties
The calculation puts the electronic total energy at -0.3453 Ha/atom. Its crystal system is trigonal. Its calculated volume is 15.77 A^3/atom. As for the density of states at the Fermi level: 6.88 states/eV/f.u. The space group is No. 166.

The structure in POSCAR format:
```
Sm3Pa3NbN8
1.0
-0.976 6.351 2.569
-2.413 -1.598 -6.286
-2.990 -2.747 5.656
Sm Pa Nb N
3 3 1 8
Direct
0.000 0.000 0.000
0.000 0.500 0.000
0.500 0.500 0.000
0.500 0.000 0.500
0.500 0.500 0.500
0.000 0.500 0.500
0.000 0.000 0.500
0.258 0.516 0.273
0.742 0.484 0.727
0.775 0.550 0.296
0.225 0.450 0.704
0.775 0.021 0.296
0.225 0.979 0.704
0.246 0.021 0.296
0.754 0.979 0.704
```

3.
First-principles (PBE) data for a relaxed Sm2EuBe crystal, as listed in Alexandria via LeMat-Bulk.

## Properties
The calculation puts the electronic total energy at -0.2108 Ha/atom. Its crystal system is tetragonal. Its calculated volume is 28.96 A^3/atom. As for the density of states at the Fermi level: 4.02 states/eV/f.u. The space group is No. 123.

The structure in POSCAR format:
```
Sm2EuBe
1.0
-1.637 -3.054 0.939
-0.390 -0.856 -3.465
7.938 -4.211 0.146
Eu Be Sm
1 1 2
Direct
0.500 0.500 0.500
0.500 0.500 0.000
0.000 0.000 0.820
0.000 0.000 0.180
```

4.
First-principles (PBE) data for a relaxed Pr2GaF crystal, as listed in Alexandria via LeMat-Bulk.

## Properties
The calculation puts the electronic total energy at -0.1834 Ha/atom. Its crystal system is trigonal. Its calculated volume is 28.72 A^3/atom. As for the density of states at the Fermi level: 2.04 states/eV/f.u. The space group is No. 166.

The structure in POSCAR format:
```
Pr2GaF
1.0
3.860 0.000 0.000
1.930 3.343 0.000
1.930 1.114 8.904
Pr Ga F
2 1 1
Direct
0.087 0.087 0.740
0.913 0.913 0.260
0.500 0.500 0.500
0.000 0.000 0.000
```

5.
First-principles (PBE) data for a relaxed La2Fe2Si crystal, as listed in Alexandria via LeMat-Bulk.

## Properties
The calculation puts the electronic total energy at -0.2405 Ha/atom. Its crystal system is tetragonal. Its calculated volume is 20.38 A^3/atom. As for the density of states at the Fermi level: 4.50 states/eV/f.u. The space group is No. 127.

The structure in POSCAR format:
```
La2Fe2Si
1.0
-2.350 1.950 6.047
-4.071 -5.413 0.164
3.198 -2.345 1.999
Si Fe La
2 4 4
Direct
0.000 0.000 0.000
0.500 0.500 0.000
0.380 0.880 0.000
0.880 0.620 0.000
0.620 0.120 0.000
0.120 0.380 0.000
0.188 0.688 0.500
0.688 0.812 0.500
0.812 0.312 0.500
0.312 0.188 0.500
```

6.
First-principles (PBE) data for a relaxed Li2Nd3Pb4 crystal, as listed in Alexandria via LeMat-Bulk.

## Properties
The calculation puts the electronic total energy at -0.1527 Ha/atom. Its crystal system is monoclinic. Its calculated volume is 27.27 A^3/atom. As for the density of states at the Fermi level: 3.71 states/eV/f.u. The space group is No. 12.

The structure in POSCAR format:
```
Li2Nd3Pb4
1.0
-2.034 -2.298 3.618
3.464 0.467 5.354
-2.967 6.953 5.858
Li Nd Pb
2 3 4
Direct
0.310 0.008 0.373
0.690 0.992 0.627
0.371 0.568 0.691
0.000 0.000 0.000
0.629 0.432 0.309
0.298 0.325 0.079
0.702 0.675 0.921
0.079 0.228 0.614
0.921 0.772 0.386
```

7.
First-principles (PBE) data for a relaxed GdTe2 crystal, as listed in Alexandria via LeMat-Bulk.

## Properties
The calculation puts the electronic total energy at -0.2943 Ha/atom. Its crystal system is tetragonal. Its calculated volume is 29.79 A^3/atom. As for the density of states at the Fermi level: 2.87 states/eV/f.u. The space group is No. 129.

The structure in POSCAR format:
```
GdTe2
1.0
4.455 0.000 0.000
0.000 4.455 0.000
0.000 0.000 9.005
Gd Te
2 4
Direct
0.750 0.750 0.728
0.250 0.250 0.272
0.750 0.750 0.370
0.250 0.250 0.630
0.250 0.750 0.000
0.750 0.250 0.000
```

8.
First-principles (PBE) data for a relaxed MnBe4Ni crystal, as listed in Alexandria via LeMat-Bulk.

## Properties
The calculation puts the electronic total energy at -0.1801 Ha/atom. Its crystal system is orthorhombic. Its calculated volume is 9.38 A^3/atom. As for the density of states at the Fermi level: 3.48 states/eV/f.u. The space group is No. 47.

The structure in POSCAR format:
```
MnBe4Ni
1.0
-1.634 -1.555 0.153
1.461 -2.154 -6.306
2.397 -2.384 1.369
Mn Be Ni
1 4 1
Direct
0.500 0.500 0.500
0.500 0.706 0.000
0.500 0.294 0.000
0.000 0.192 0.500
0.000 0.808 0.500
0.000 0.000 0.000
```

9.
First-principles (PBE) data for a relaxed Tb2PmY3As6 crystal, as listed in Alexandria via LeMat-Bulk.

## Properties
The calculation puts the electronic total energy at -0.2445 Ha/atom. Its crystal system is monoclinic. Its calculated volume is 25.24 A^3/atom. As for the density of states at the Fermi level: 1.81 states/eV/f.u. The space group is No. 12.

The structure in POSCAR format:
```
Tb2PmY3As6
1.0
-4.939 5.217 -0.165
1.151 -3.667 6.072
5.967 3.997 -0.133
Tb Pm Y As
2 1 3 6
Direct
0.333 0.667 0.000
0.667 0.333 0.000
0.000 0.000 0.000
0.166 0.834 0.500
0.834 0.166 0.500
0.500 0.500 0.500
0.916 0.579 0.747
0.747 0.747 0.252
0.084 0.421 0.253
0.579 0.916 0.747
0.253 0.253 0.748
0.421 0.084 0.253
```

10.
First-principles (PBE) data for a relaxed Y2SbO crystal, as listed in Alexandria via LeMat-Bulk.

## Properties
The calculation puts the electronic total energy at -0.2708 Ha/atom. Its crystal system is tetragonal. Its calculated volume is 23.45 A^3/atom. As for the density of states at the Fermi level: 2.09 states/eV/f.u. The space group is No. 122.

The structure in POSCAR format:
```
Y2SbO
1.0
-1.182 4.942 -4.861
-6.919 -0.542 1.132
-3.823 4.883 0.808
Y Sb O
4 2 2
Direct
0.520 0.125 0.250
0.230 0.625 0.250
0.375 0.480 0.750
0.875 0.770 0.750
0.000 0.000 0.000
0.750 0.250 0.500
0.500 0.500 0.000
0.250 0.750 0.500
```

11.
First-principles (PBE) data for a relaxed TlSiSb2 crystal, as listed in Alexandria via LeMat-Bulk.

## Properties
The calculation puts the electronic total energy at -0.1370 Ha/atom. Its crystal system is tetragonal. Its calculated volume is 25.98 A^3/atom. As for the density of states at the Fermi level: 2.12 states/eV/f.u. The space group is No. 123.

The structure in POSCAR format:
```
TlSiSb2
1.0
3.532 0.000 0.000
0.000 3.532 0.000
0.000 0.000 8.331
Sb Si Tl
2 1 1
Direct
0.000 0.000 0.057
0.000 0.000 0.443
0.500 0.500 0.250
0.500 0.500 0.750
```

12.
First-principles (PBE) data for a relaxed Ba2VZnP crystal, as listed in Alexandria via LeMat-Bulk.

## Properties
The calculation puts the electronic total energy at -0.1486 Ha/atom. Its crystal system is tetragonal. Its calculated volume is 36.38 A^3/atom. As for the density of states at the Fermi level: 4.20 states/eV/f.u. The space group is No. 123.

The structure in POSCAR format:
```
Ba2VZnP
1.0
-0.370 -5.218 3.482
1.375 -2.508 -3.611
5.986 0.749 1.759
P Zn Ba V
1 1 2 1
Direct
0.000 0.000 0.000
0.500 0.500 0.500
0.000 0.000 0.500
0.500 0.000 0.000
0.000 0.500 0.000
```

13.
First-principles (PBE) data for a relaxed Y7Er2 crystal, as listed in Alexandria via LeMat-Bulk.

## Properties
The calculation puts the electronic total energy at -0.2208 Ha/atom. Its crystal system is hexagonal. Its calculated volume is 32.26 A^3/atom. As for the density of states at the Fermi level: 16.94 states/eV/f.u. The space group is No. 189.

The structure in POSCAR format:
```
Y7Er2
1.0
3.574 0.000 0.000
0.000 9.686 0.000
0.000 -4.843 8.388
Y Er
7 2
Direct
0.500 0.637 0.000
0.500 0.000 0.637
0.500 0.363 0.363
0.000 0.306 0.000
0.000 0.000 0.306
0.000 0.694 0.694
0.500 0.000 0.000
0.000 0.667 0.333
0.000 0.333 0.667
```